1.
ZnCdN2: relaxed, PBE.

Cell and atoms, written as POSCAR:
```
ZnCdN2
1.0
4.9680 0.0000 0.0000
0.0000 4.9680 0.0000
2.4840 2.4840 4.6033
Zn Cd N
2 2 4
direct
0.5000 0.5000 0.0000
0.2500 0.7500 0.5000
0.7500 0.2500 0.5000
0.0000 0.0000 0.0000
0.5816 0.1250 0.2500
0.8750 0.8316 0.7500
0.3750 0.4184 0.7500
0.1684 0.6250 0.2500
```

The offset from the most stable computed form comes out at 0.0 kJ/mol of formula units.

=====

2.
ZnCdN3: relaxed, PBE.

Cell and atoms, written as POSCAR:
```
ZnCdN3
1.0
4.2090 0.0000 0.0000
0.0000 4.2090 0.0000
0.0000 0.0000 4.2090
Zn N Cd
1 3 1
direct
0.5000 0.5000 0.5000
0.5000 0.0000 0.0000
0.0000 0.0000 0.5000
0.0000 0.5000 0.0000
0.0000 0.0000 0.0000
```

=====

3.
ZnCdN: relaxed, PBE.

Cell and atoms, written as POSCAR:
```
ZnCdN
1.0
3.3463 0.0000 0.0000
-1.6731 2.8980 0.0000
0.0000 0.0000 4.6308
Cd N Zn
1 1 1
direct
0.0000 0.0000 0.0533
0.3333 0.6667 0.3970
0.6667 0.3333 0.5497
```

The offset from the most stable computed form comes out at 55.2 kJ/mol of formula units.

=====

4.
Zn2CdN: relaxed, PBE.

Cell and atoms, written as POSCAR:
```
Zn2CdN
1.0
-1.8070 1.8412 3.5892
-4.2185 1.3178 -0.0781
-3.0480 -2.2066 2.3191
Zn Cd N
2 1 1
direct
0.7500 0.7500 0.7500
0.2500 0.2500 0.2500
0.5000 0.5000 0.5000
0.0000 0.0000 0.0000
```

The offset from the most stable computed form comes out at 307.4 kJ/mol of formula units.

=====

5.
Zn2CdN: relaxed, PBE.

Cell and atoms, written as POSCAR:
```
Zn2CdN
1.0
5.8947 0.0000 0.0000
0.0000 5.8947 0.0000
2.9474 2.9474 4.2568
Zn Cd N
4 2 2
direct
0.3750 0.5117 0.7500
0.4883 0.1250 0.2500
0.8750 0.7383 0.7500
0.2617 0.6250 0.2500
0.7500 0.2500 0.5000
0.0000 0.0000 0.0000
0.2500 0.7500 0.5000
0.5000 0.5000 0.0000
```

The offset from the most stable computed form comes out at 0.0 kJ/mol of formula units.

=====

6.
ZnCdN: relaxed, PBE.

Cell and atoms, written as POSCAR:
```
ZnCdN
1.0
3.6899 0.0677 -0.2910
-0.0645 3.5215 -0.0091
-3.0480 -1.7899 7.8957
N Zn Cd
2 2 2
direct
0.8951 0.3228 0.1457
0.1049 0.6772 0.8543
0.6918 0.7209 0.9415
0.3082 0.2791 0.0585
0.8965 0.0744 0.6469
0.1035 0.9256 0.3531
```

The offset from the most stable computed form comes out at 0.0 kJ/mol of formula units.

=====

Number 1: calculated volume 14.20 Å³/atom, uncorrected formation energy 0.87 eV per atom. Number 2: calculated volume 14.91 Å³/atom, uncorrected formation energy 2.40 eV per atom. Number 3: calculated volume 14.97 Å³/atom, uncorrected formation energy 0.46 eV per atom. Number 4: calculated volume 15.27 Å³/atom, uncorrected formation energy 1.02 eV per atom. Number 5: calculated volume 18.49 Å³/atom, uncorrected formation energy 0.22 eV per atom. Number 6: calculated volume 16.57 Å³/atom, uncorrected formation energy 0.27 eV per atom.